1.
The following is a DFT calculation (GGA-PBE) of a geometry-optimized Ba2Na3NpSe6 structure. Values from VASP.

The structure in Quantum ESPRESSO input format:
```
&SYSTEM
  ibrav = 0, nat = 12, ntyp = 4
/
ATOMIC_SPECIES
Ba 137.33 Ba.upf
Na 22.99 Na.upf
Np 237.00 Np.upf
Se 78.96 Se.upf
CELL_PARAMETERS angstrom
3.917 -6.844 0.000
3.917 6.844 0.000
-2.599 0.000 6.911
ATOMIC_POSITIONS crystal
Ba 0.169 0.831 0.000
Ba 0.831 0.169 0.000
Na 0.000 0.000 0.500
Na 0.346 0.654 0.500
Na 0.654 0.346 0.500
Np 0.500 0.500 0.000
Se 0.133 0.420 0.758
Se 0.284 0.284 0.227
Se 0.420 0.133 0.758
Se 0.580 0.867 0.242
Se 0.716 0.716 0.773
Se 0.867 0.580 0.242
```

Values from the calculation:
ΔE_f (raw)	-1604	kJ/mol of formula units
calculated volume	30.88	Å³/atom
symmetry	C2/m, No. 12
DOS at the Fermi energy	0.650	states/eV per atom

2.
The following is a DFT calculation (GGA-PBE) of a geometry-optimized BaNa2NpSe4 structure. Values from VASP.

The structure in Quantum ESPRESSO input format:
```
&SYSTEM
  ibrav = 0, nat = 8, ntyp = 4
/
ATOMIC_SPECIES
Ba 137.33 Ba.upf
Na 22.99 Na.upf
Np 237.00 Np.upf
Se 78.96 Se.upf
CELL_PARAMETERS angstrom
-2.996 2.996 6.823
2.996 -2.996 6.823
2.996 2.996 -6.823
ATOMIC_POSITIONS crystal
Ba 0.000 0.000 0.000
Na 0.500 0.500 0.000
Na 0.750 0.250 0.500
Np 0.250 0.750 0.500
Se 0.049 0.549 0.500
Se 0.248 0.248 0.000
Se 0.451 0.951 0.500
Se 0.752 0.752 0.000
```

Values from the calculation:
ΔE_f (raw)	-1003	kJ/mol of formula units
calculated volume	30.62	Å³/atom
symmetry	I-4m2, No. 119
DOS at the Fermi energy	1.599	states/eV per atom

3.
The following is a DFT calculation (GGA-PBE) of a geometry-optimized BaNaNpSe3 structure. Values from VASP.

The structure in Quantum ESPRESSO input format:
```
&SYSTEM
  ibrav = 0, nat = 12, ntyp = 4
/
ATOMIC_SPECIES
Ba 137.33 Ba.upf
Na 22.99 Na.upf
Np 237.00 Np.upf
Se 78.96 Se.upf
CELL_PARAMETERS angstrom
8.819 0.000 0.000
0.000 4.418 0.000
-2.733 0.000 9.254
ATOMIC_POSITIONS crystal
Ba 0.215 0.250 0.243
Ba 0.785 0.750 0.757
Na 0.092 0.250 0.586
Na 0.908 0.750 0.414
Np 0.325 0.750 0.847
Np 0.675 0.250 0.153
Se 0.108 0.250 0.875
Se 0.253 0.750 0.526
Se 0.457 0.750 0.156
Se 0.543 0.250 0.844
Se 0.747 0.250 0.474
Se 0.892 0.750 0.125
```

Values from the calculation:
ΔE_f (raw)	-778	kJ/mol of formula units
calculated volume	30.04	Å³/atom
symmetry	P2_1/m, No. 11
DOS at the Fermi energy	1.898	states/eV per atom

4.
The following is a DFT calculation (GGA-PBE) of a geometry-optimized Ba2NaNpSe4 structure. Values from VASP.

The structure in Quantum ESPRESSO input format:
```
&SYSTEM
  ibrav = 0, nat = 8, ntyp = 4
/
ATOMIC_SPECIES
Ba 137.33 Ba.upf
Na 22.99 Na.upf
Np 237.00 Np.upf
Se 78.96 Se.upf
CELL_PARAMETERS angstrom
7.717 0.000 0.000
0.000 4.494 0.000
-2.529 0.000 7.314
ATOMIC_POSITIONS crystal
Ba 0.000 0.000 0.000
Ba 0.000 0.500 0.500
Na 0.500 0.000 0.500
Np 0.500 0.500 0.000
Se 0.276 0.500 0.243
Se 0.282 0.000 0.770
Se 0.718 0.000 0.230
Se 0.724 0.500 0.757
```

Values from the calculation:
ΔE_f (raw)	-1192	kJ/mol of formula units
calculated volume	31.71	Å³/atom
symmetry	P2/m, No. 10
DOS at the Fermi energy	1.006	states/eV per atom

5.
The following is a DFT calculation (GGA-PBE) of a geometry-optimized BaNaNpTe3 structure. Values from VASP.

The structure in Quantum ESPRESSO input format:
```
&SYSTEM
  ibrav = 0, nat = 12, ntyp = 4
/
ATOMIC_SPECIES
Ba 137.33 Ba.upf
Na 22.99 Na.upf
Np 237.00 Np.upf
Te 127.60 Te.upf
CELL_PARAMETERS angstrom
9.346 0.000 0.000
0.000 4.703 0.000
-2.875 0.000 9.912
ATOMIC_POSITIONS crystal
Ba 0.212 0.250 0.245
Ba 0.788 0.750 0.755
Na 0.091 0.250 0.586
Na 0.909 0.750 0.414
Np 0.323 0.750 0.845
Np 0.677 0.250 0.155
Te 0.103 0.250 0.877
Te 0.260 0.750 0.524
Te 0.454 0.750 0.158
Te 0.546 0.250 0.842
Te 0.740 0.250 0.476
Te 0.897 0.750 0.123
```

Values from the calculation:
ΔE_f (raw)	-596	kJ/mol of formula units
calculated volume	36.31	Å³/atom
symmetry	P2_1/m, No. 11
DOS at the Fermi energy	1.679	states/eV per atom

6.
The following is a DFT calculation (GGA-PBE) of a geometry-optimized Ba3Na2O2 structure. Values from VASP.

The structure in Quantum ESPRESSO input format:
```
&SYSTEM
  ibrav = 0, nat = 7, ntyp = 3
/
ATOMIC_SPECIES
Ba 137.33 Ba.upf
Na 22.99 Na.upf
O 16.00 O.upf
CELL_PARAMETERS angstrom
4.168 0.000 0.000
0.000 6.711 0.000
-0.003 -3.338 9.831
ATOMIC_POSITIONS crystal
Ba 0.000 0.000 0.000
Ba 0.500 0.405 0.810
Ba 0.500 0.595 0.190
Na 0.001 0.784 0.569
Na 0.999 0.216 0.431
O 0.500 0.260 0.000
O 0.500 0.740 0.000
```

Values from the calculation:
ΔE_f (raw)	-911	kJ/mol of formula units
calculated volume	39.29	Å³/atom
symmetry	P-1, No. 2
DOS at the Fermi energy	0.430	states/eV per atom